Entry from Alexandria via LeMat-Bulk: an optimized crystal structure of MgMnCrF6 (PBE+U).

Cell and atoms, written as CIF:
```
data_MgMnCrF6
_symmetry_space_group_name_H-M 'P -3 1 c'
_symmetry_Int_Tables_number 163
_symmetry_space_group_name_Hall '-P 3 2c'
_cell_length_a 5.3679
_cell_length_b 5.3679
_cell_length_c 9.0014
_cell_angle_alpha 90.00
_cell_angle_beta 90.00
_cell_angle_gamma 120.00
loop_
_atom_site_label
_atom_site_fract_x
_atom_site_fract_y
_atom_site_fract_z
_atom_site_occupancy
Mg1 0.0000 0.0000 0.0000 1
Mn1 0.3333 0.6667 0.2500 1
Cr1 0.3333 0.6667 0.7500 1
F1 0.0017 0.3205 0.6255 1
```

Calculated values
- Energy: -0.43225 Ry/atom
- Theoretical density: 3.626 Mg/m³
- Crystal system: trigonal
- Volume: 112 Å³/f.u.